No. 1
SiPOs2: optimized geometry, PBE-GGA.

Lattice parameters (Å, degrees): 4.320 4.320 4.320 60.00 60.00 60.00
Positions (direct):
Os 0.750 0.750 0.750
Os 0.000 0.000 0.000
Si 0.250 0.250 0.250
P 0.500 0.500 0.500

* formation energy from raw total energies: 0.684 eV/atom
* total moment: 0.0001 μB/atom
* crystal system: cubic
* symmetry: No. 216
* relative energy among the computed polymorphs: 849 meV/atom

---

No. 2
SmPuIrCl: optimized geometry, PBE-GGA.

Lattice parameters (Å, degrees): 3.994 3.994 8.011 90.00 104.45 120.00
Positions (direct):
Ir 0.307 0.552 0.874
Cl 0.973 0.384 0.372
Sm 0.496 0.146 0.658
Pu 0.101 0.949 0.065

* formation energy from raw total energies: -0.968 eV/atom
* total moment: 1.2929 μB/atom
* crystal system: trigonal
* symmetry: No. 160

---

No. 3
Nb2BIrI: optimized geometry, PBE-GGA.

Lattice parameters (Å, degrees): 4.348 4.659 4.348 90.00 90.00 90.00
Positions (direct):
Nb 0.500 0.000 0.000
Nb 0.000 0.000 0.500
I 0.000 0.500 0.000
Ir 0.500 0.500 0.500
B 0.000 0.000 0.000

* formation energy from raw total energies: 0.957 eV/atom
* total moment: 0.0000 μB/atom
* crystal system: tetragonal
* symmetry: No. 123

---

Among the records above, which one has the highest total moment?
SmPuIrCl